# 1
Entry from Alexandria via LeMat-Bulk: an optimized crystal structure of CeNd2Sm6Dy3 (GGA-PBE).

Calculated values
- ρ (kg/m³) = 7557
- M_tot (μB per formula unit) = 1.1
- formation energy (eV per atom) = 0.040

a = 6.257 Å, b = 10.841 Å, c = 11.965 Å
α = 90.00°, β = 100.09°, γ = 90.00°
Space group C2/m (No. 12)
Symmetry-distinct sites (fractional):
Ce 0.000 0.000 0.000 [2 per cell]
Nd 0.000 0.334 0.000 [4 per cell]
Sm 0.247 0.000 0.747 [4 per cell]
Sm 0.249 0.165 0.252 [8 per cell]
Dy 0.000 0.167 0.500 [4 per cell]
Dy 0.000 0.500 0.500 [2 per cell]


# 2
Entry from Alexandria via LeMat-Bulk: an optimized crystal structure of CeNdDySn (GGA-PBE).

Calculated values
- ρ (kg/m³) = 8233
- M_tot (μB per formula unit) = 0.5
- formation energy (eV per atom) = -0.201

a = 7.699 Å, b = 7.699 Å, c = 7.699 Å
α = 90.00°, β = 90.00°, γ = 90.00°
Space group F-43m (No. 216)
Symmetry-distinct sites (fractional):
Ce 0.000 0.000 0.000 [4 per cell]
Nd 0.250 0.250 0.750 [4 per cell]
Dy 0.250 0.250 0.250 [4 per cell]
Sn 0.000 0.000 0.500 [4 per cell]


# 3
Entry from Alexandria via LeMat-Bulk: an optimized crystal structure of TbCeNd2Dy (GGA-PBE).

Calculated values
- ρ (kg/m³) = 7393
- M_tot (μB per formula unit) = 0.5
- formation energy (eV per atom) = 0.279

a = 6.135 Å, b = 6.760 Å, c = 8.125 Å
α = 90.00°, β = 90.00°, γ = 90.00°
Space group Pmma (No. 51)
Symmetry-distinct sites (fractional):
Tb 0.250 0.000 0.145 [2 per cell]
Ce 0.000 0.000 0.500 [2 per cell]
Nd 0.250 0.265 0.811 [4 per cell]
Dy 0.250 0.500 0.372 [2 per cell]


# 4
Entry from Alexandria via LeMat-Bulk: an optimized crystal structure of TbCeNdDy3 (GGA-PBE).

Calculated values
- ρ (kg/m³) = 7970
- M_tot (μB per formula unit) = 1.4
- formation energy (eV per atom) = 0.154

a = 5.902 Å, b = 11.129 Å, c = 11.809 Å
α = 90.00°, β = 90.00°, γ = 90.00°
Space group Cmcm (No. 63)
Symmetry-distinct sites (fractional):
Tb 0.000 0.173 0.250 [4 per cell]
Ce 0.000 0.499 0.250 [4 per cell]
Nd 0.000 0.000 0.000 [4 per cell]
Dy 0.000 0.172 0.750 [4 per cell]
Dy 0.000 0.330 0.501 [8 per cell]


# 5
Entry from Alexandria via LeMat-Bulk: an optimized crystal structure of Tb6Ce2NdDy3 (GGA-PBE).

Calculated values
- ρ (kg/m³) = 8114
- M_tot (μB per formula unit) = 1.9
- formation energy (eV per atom) = 0.050

a = 6.161 Å, b = 10.673 Å, c = 11.792 Å
α = 90.00°, β = 100.05°, γ = 90.00°
Space group C2/m (No. 12)
Symmetry-distinct sites (fractional):
Tb 0.248 0.000 0.250 [4 per cell]
Tb 0.248 0.168 0.750 [8 per cell]
Ce 0.000 0.167 0.000 [4 per cell]
Nd 0.000 0.500 0.000 [2 per cell]
Dy 0.000 0.000 0.500 [2 per cell]
Dy 0.000 0.334 0.500 [4 per cell]


# 6
Entry from Alexandria via LeMat-Bulk: an optimized crystal structure of Tb6Ce2Nd3Dy (GGA-PBE).

Calculated values
- ρ (kg/m³) = 7812
- M_tot (μB per formula unit) = 2.0
- formation energy (eV per atom) = 0.046

a = 6.206 Å, b = 10.751 Å, c = 11.835 Å
α = 90.00°, β = 100.06°, γ = 90.00°
Space group C2/m (No. 12)
Symmetry-distinct sites (fractional):
Tb 0.246 0.000 0.246 [4 per cell]
Tb 0.250 0.168 0.755 [8 per cell]
Ce 0.000 0.167 0.000 [4 per cell]
Nd 0.000 0.000 0.500 [2 per cell]
Nd 0.000 0.334 0.500 [4 per cell]
Dy 0.000 0.500 0.000 [2 per cell]


# 7
Entry from Alexandria via LeMat-Bulk: an optimized crystal structure of Tb2CeNd3Dy6 (GGA-PBE).

Calculated values
- ρ (kg/m³) = 7966
- M_tot (μB per formula unit) = 1.2
- formation energy (eV per atom) = 0.033

a = 6.212 Å, b = 10.758 Å, c = 11.820 Å
α = 90.00°, β = 100.07°, γ = 90.00°
Space group C2/m (No. 12)
Symmetry-distinct sites (fractional):
Tb 0.000 0.167 0.000 [4 per cell]
Ce 0.000 0.500 0.000 [2 per cell]
Nd 0.000 0.000 0.500 [2 per cell]
Nd 0.000 0.332 0.500 [4 per cell]
Dy 0.248 0.334 0.247 [8 per cell]
Dy 0.249 0.500 0.753 [4 per cell]


# 8
Entry from Alexandria via LeMat-Bulk: an optimized crystal structure of TbCeNd6Dy2 (GGA-PBE).

Calculated values
- ρ (kg/m³) = 7162
- M_tot (μB per formula unit) = 1.2
- formation energy (eV per atom) = 0.237

a = 11.327 Å, b = 7.053 Å, c = 8.892 Å
α = 90.00°, β = 103.52°, γ = 90.00°
Space group C2/m (No. 12)
Symmetry-distinct sites (fractional):
Tb 0.000 0.000 0.000 [2 per cell]
Ce 0.000 0.500 0.500 [2 per cell]
Nd 0.126 0.500 0.917 [4 per cell]
Nd 0.173 0.234 0.298 [8 per cell]
Dy 0.091 0.000 0.663 [4 per cell]